## Co2PbBr (GGA-PBEsol)

Data for an optimized crystal structure of Co2PbBr.

extended XYZ file:
```
4
Lattice="-1.351 -2.811 0.173 3.089 -1.344 2.297 -2.707 1.583 4.567" Properties=species:S:1:pos:R:3 pbc="T T T"
Br 0.191 0.120 3.432
Pb 0.869 -2.077 1.235
Co -2.029 -0.614 2.370
Co 0.000 0.000 0.000
```

Calculated values
DOS at the Fermi energy ... 5.64 states/eV per cell
E_form (uncorrected) ... 752 meV/atom
Space group ... No. 47
Excess energy over the best structure of this formula in the dataset ... 0.347 eV/atom
Total moment ... 2.5 μB per formula unit
Volume ... 70.55 Å³ per cell